Here is an optimized crystal structure of K2Hg2Pt from Alexandria. Energies are from PBE.

Space-group type = P4/mbm
Crystal system = tetragonal
DFT total energy = -19.2 eV per cell
Offset from the most stable computed form = 67 meV/atom
ΔE_f = -74.3 kJ/mol of formula units

abc: 7.3489 7.3489 5.5353
angles: 90.00 90.00 90.00
Sites, in units of the cell vectors:
Hg 0.3473 0.8473 0.0000
Hg 0.1527 0.3473 0.0000
Hg 0.8473 0.6527 0.0000
Hg 0.6527 0.1527 0.0000
K 0.3227 0.1773 0.5000
K 0.1773 0.6773 0.5000
K 0.8227 0.3227 0.5000
K 0.6773 0.8227 0.5000
Pt 0.0000 0.0000 0.0000
Pt 0.5000 0.5000 0.0000

Here is an optimized crystal structure of K4Rb2Hg2Pt from Alexandria. Energies are from PBE.

Space-group type = C2/m
Crystal system = monoclinic
DFT total energy = -13.8 eV per cell
ΔE_f = -80.4 kJ/mol of formula units

abc: 7.3153 9.2620 9.2620
angles: 52.06 71.56 71.56
Sites, in units of the cell vectors:
K 0.6858 0.8740 0.3303
K 0.3142 0.6697 0.1260
K 0.6858 0.3303 0.8740
K 0.3142 0.1260 0.6697
Rb 0.8536 0.3411 0.3411
Rb 0.1464 0.6589 0.6589
Pt 0.5000 0.0000 0.0000
Hg 0.1261 0.1116 0.1116
Hg 0.8739 0.8884 0.8884